Entry 1:
Material: LiReSb
Method: DFT, PBE
State: optimized geometry

Values from the calculation:
**Raw formation energy**: 161 kJ/mol of formula units
**SG**: Fmm2
**Excess energy over the best structure of this formula in the dataset**: 310 meV per atom

abc: 7.2812 7.0836 2.9193
angles: 82.10 74.50 23.40
Sites, in units of the cell vectors:
Li: 0.0000 0.0000 0.0000
Re: 0.6527 0.6527 0.3473
Sb: 0.3116 0.3116 0.6884

Entry 2:
Material: BaReRh2
Method: DFT, PBE
State: optimized geometry

Values from the calculation:
**E_form**: 1046 meV per atom
**SG**: F-43m
**Excess energy over the best structure of this formula in the dataset**: 875 meV per atom

abc: 4.7258 4.7258 4.7258
angles: 60.00 60.00 60.00
Sites, in units of the cell vectors:
Ba: 0.0000 0.0000 0.0000
Re: 0.2500 0.2500 0.2500
Rh: 0.5000 0.5000 0.5000
Rh: 0.7500 0.7500 0.7500

Entry 3:
Material: Pm2DyTh3As6
Method: DFT, PBE
State: optimized geometry

Values from the calculation:
**E_form**: -1475 meV per atom
**SG**: C2/m

abc: 9.4485 9.4485 8.4330
angles: 102.70 102.70 25.90
Sites, in units of the cell vectors:
Pm: 0.1664 0.1664 0.3331
Pm: 0.8336 0.8336 0.6669
Dy: 0.5000 0.5000 0.0000
Th: 0.1672 0.1672 0.8336
Th: 0.5000 0.5000 0.5000
Th: 0.8328 0.8328 0.1664
As: 0.9995 0.9995 0.2448
As: 0.0005 0.0005 0.7552
As: 0.3336 0.3336 0.4164
As: 0.3354 0.3354 0.9182
As: 0.6646 0.6646 0.0818
As: 0.6664 0.6664 0.5836

Entry 4:
Material: LaCdOs2
Method: DFT, PBE
State: optimized geometry

Values from the calculation:
**E_form**: 210 meV per atom
**SG**: P4mm

abc: 2.9567 2.9567 8.9780
angles: 90.00 90.00 90.00
Sites, in units of the cell vectors:
La: 0.0000 0.0000 0.0000
Cd: 0.5000 0.5000 0.6829
Os: 0.0000 0.0000 0.4433
Os: 0.5000 0.5000 0.2728

Entry 5:
Material: K2TlH2Cl4
Method: DFT, PBE
State: optimized geometry

Values from the calculation:
**SG**: I4/mmm

abc: 6.6880 6.6880 6.6880
angles: 111.71 111.71 105.09
Sites, in units of the cell vectors:
K: 0.2500 0.7500 0.5000
K: 0.7500 0.2500 0.5000
Tl: 0.0000 0.0000 0.0000
H: 0.2090 0.2090 0.0000
H: 0.7910 0.7910 0.0000
Cl: 0.2594 0.2594 0.5188
Cl: 0.2594 0.7406 0.0000
Cl: 0.7406 0.2594 0.0000
Cl: 0.7406 0.7406 0.4812

So what do the calculations give for electronic total energy? Going down the list: -16.81 -24.89 -81.96 -27.46 -26.12 eV per formula unit.